A plane-wave DFT calculation with PBE-GGA was carried out for a relaxed AcZn3Pt crystal.

CIF file:
```
data_AcZn3Pt
_chemical_formula_sum 'Ac1 Zn3 Pt1'
_cell_length_a 4.8664
_cell_length_b 4.8664
_cell_length_c 4.8664
_cell_angle_alpha 90.00
_cell_angle_beta 90.00
_cell_angle_gamma 90.00
_symmetry_space_group_name_H-M 'P m -3 m'
_symmetry_Int_Tables_number 221
_symmetry_space_group_name_Hall '-P 4 2 3'
loop_
_atom_site_label
_atom_site_type_symbol
_atom_site_fract_x
_atom_site_fract_y
_atom_site_fract_z
_atom_site_occupancy
Ac1 Ac 0.0000 0.0000 0.0000 1
Zn1 Zn 0.0000 0.5000 0.5000 1
Pt1 Pt 0.5000 0.5000 0.5000 1
```

Calculated values
- DFT formation energy (eV/atom) = -0.413
- V (A^3/atom) = 23.0



A plane-wave DFT calculation with PBE-GGA was carried out for a relaxed Sc2RhC crystal.

CIF file:
```
data_Sc2RhC
_chemical_formula_sum 'Sc6 Rh3 C3'
_cell_length_a 3.2326
_cell_length_b 3.2326
_cell_length_c 22.2103
_cell_angle_alpha 90.00
_cell_angle_beta 90.00
_cell_angle_gamma 120.00
_symmetry_space_group_name_H-M 'R -3 m'
_symmetry_Int_Tables_number 166
_symmetry_space_group_name_Hall '-R 3 2"'
loop_
_atom_site_label
_atom_site_type_symbol
_atom_site_fract_x
_atom_site_fract_y
_atom_site_fract_z
_atom_site_occupancy
Sc1 Sc 0.0000 0.0000 0.1103 1
Rh1 Rh 0.0000 0.0000 0.0000 1
C1 C 0.0000 0.0000 0.5000 1
```

Calculated values
- DFT formation energy (eV/atom) = -0.276
- V (A^3/atom) = 16.7



A plane-wave DFT calculation with PBE-GGA was carried out for a relaxed Mg7ZnSn4 crystal.

CIF file:
```
data_Mg7ZnSn4
_chemical_formula_sum 'Mg14 Zn2 Sn8'
_cell_length_a 14.3643
_cell_length_b 5.1479
_cell_length_c 10.7152
_cell_angle_alpha 90.00
_cell_angle_beta 128.89
_cell_angle_gamma 90.00
_symmetry_space_group_name_H-M 'C 1 2/m 1'
_symmetry_Int_Tables_number 12
loop_
_symmetry_equiv_pos_as_xyz
'x,y,z'
'-x,-y,-z'
'-x,y,-z'
'x,-y,z'
'x+1/2,y+1/2,z'
'-x+1/2,-y+1/2,-z'
'-x+1/2,y+1/2,-z'
'x+1/2,-y+1/2,z'
loop_
_atom_site_label
_atom_site_type_symbol
_atom_site_fract_x
_atom_site_fract_y
_atom_site_fract_z
_atom_site_occupancy
Mg1 Mg 0.0000 0.0000 0.0000 1
Mg2 Mg 0.0588 0.5000 0.4126 1
Mg3 Mg 0.1609 0.0000 0.8738 1
Mg4 Mg 0.2318 0.5000 0.3188 1
Zn1 Zn 0.0000 0.5000 0.0000 1
Sn1 Sn 0.1041 0.0000 0.3254 1
Sn2 Sn 0.2058 0.5000 0.7703 1
```

Calculated values
- DFT formation energy (eV/atom) = -0.011
- V (A^3/atom) = 25.7



A plane-wave DFT calculation with PBE-GGA was carried out for a relaxed PrB2Rh3 crystal.

CIF file:
```
data_PrB2Rh3
_chemical_formula_sum 'Pr3 B6 Rh9'
_cell_length_a 9.0610
_cell_length_b 9.0610
_cell_length_c 3.5749
_cell_angle_alpha 90.00
_cell_angle_beta 90.00
_cell_angle_gamma 120.00
_symmetry_space_group_name_H-M 'P 6/m m m'
_symmetry_Int_Tables_number 191
_symmetry_space_group_name_Hall '-P 6 2'
loop_
_atom_site_label
_atom_site_type_symbol
_atom_site_fract_x
_atom_site_fract_y
_atom_site_fract_z
_atom_site_occupancy
Pr1 Pr 0.0000 0.0000 0.0000 1
Pr2 Pr 0.3333 0.6667 0.5000 1
B1 B 0.1861 0.3721 0.0000 1
Rh1 Rh 0.0000 0.2836 0.5000 1
Rh2 Rh 0.0000 0.5000 0.0000 1
```

Calculated values
- DFT formation energy (eV/atom) = -0.302
- V (A^3/atom) = 14.1



A plane-wave DFT calculation with PBE-GGA was carried out for a relaxed La7Ho3Mg crystal.

CIF file:
```
data_La7Ho3Mg
_chemical_formula_sum 'La14 Ho6 Mg2'
_cell_length_a 11.5875
_cell_length_b 10.4559
_cell_length_c 6.5552
_cell_angle_alpha 90.00
_cell_angle_beta 91.97
_cell_angle_gamma 90.00
_symmetry_space_group_name_H-M 'C 1 2/m 1'
_symmetry_Int_Tables_number 12
loop_
_symmetry_equiv_pos_as_xyz
'x,y,z'
'-x,-y,-z'
'-x,y,-z'
'x,-y,z'
'x+1/2,y+1/2,z'
'-x+1/2,-y+1/2,-z'
'-x+1/2,y+1/2,-z'
'x+1/2,-y+1/2,z'
loop_
_atom_site_label
_atom_site_type_symbol
_atom_site_fract_x
_atom_site_fract_y
_atom_site_fract_z
_atom_site_occupancy
La1 La 0.0000 0.0000 0.0000 1
La2 La 0.2339 0.1732 0.2644 1
La3 La 0.2404 0.5000 0.2066 1
Ho1 Ho 0.0000 0.3387 0.0000 1
Ho2 Ho 0.0000 0.5000 0.5000 1
Mg1 Mg 0.0000 0.0000 0.5000 1
```

Calculated values
- DFT formation energy (eV/atom) = 0.219
- V (A^3/atom) = 36.1



A plane-wave DFT calculation with PBE-GGA was carried out for a relaxed ThGa2RuRh crystal.

CIF file:
```
data_ThGa2RuRh
_chemical_formula_sum 'Th2 Ga4 Ru2 Rh2'
_cell_length_a 4.3619
_cell_length_b 4.3619
_cell_length_c 9.7436
_cell_angle_alpha 90.00
_cell_angle_beta 90.00
_cell_angle_gamma 90.00
_symmetry_space_group_name_H-M 'I -4 m 2'
_symmetry_Int_Tables_number 119
_symmetry_space_group_name_Hall 'I -4 -2'
loop_
_atom_site_label
_atom_site_type_symbol
_atom_site_fract_x
_atom_site_fract_y
_atom_site_fract_z
_atom_site_occupancy
Th1 Th 0.0000 0.0000 0.0000 1
Ga1 Ga 0.0000 0.0000 0.3710 1
Ru1 Ru 0.0000 0.5000 0.2500 1
Rh1 Rh 0.0000 0.5000 0.7500 1
```

Calculated values
- DFT formation energy (eV/atom) = -0.678
- V (A^3/atom) = 18.5



A plane-wave DFT calculation with PBE-GGA was carried out for a relaxed TbZr2W crystal.

CIF file:
```
data_TbZr2W
_chemical_formula_sum 'Tb3 Zr6 W3'
_cell_length_a 3.2449
_cell_length_b 3.2449
_cell_length_c 31.6202
_cell_angle_alpha 90.00
_cell_angle_beta 90.00
_cell_angle_gamma 120.00
_symmetry_space_group_name_H-M 'R -3 m'
_symmetry_Int_Tables_number 166
_symmetry_space_group_name_Hall '-R 3 2"'
loop_
_atom_site_label
_atom_site_type_symbol
_atom_site_fract_x
_atom_site_fract_y
_atom_site_fract_z
_atom_site_occupancy
Tb1 Tb 0.0000 0.0000 0.0000 1
Zr1 Zr 0.0000 0.0000 0.1007 1
W1 W 0.0000 0.0000 0.5000 1
```

Calculated values
- DFT formation energy (eV/atom) = 0.434
- V (A^3/atom) = 24.0



A plane-wave DFT calculation with PBE-GGA was carried out for a relaxed Pr2GdCo crystal.

CIF file:
```
data_Pr2GdCo
_chemical_formula_sum 'Pr6 Gd3 Co3'
_cell_length_a 3.7192
_cell_length_b 3.7192
_cell_length_c 31.5318
_cell_angle_alpha 90.00
_cell_angle_beta 90.00
_cell_angle_gamma 120.00
_symmetry_space_group_name_H-M 'R -3 m'
_symmetry_Int_Tables_number 166
_symmetry_space_group_name_Hall '-R 3 2"'
loop_
_atom_site_label
_atom_site_type_symbol
_atom_site_fract_x
_atom_site_fract_y
_atom_site_fract_z
_atom_site_occupancy
Pr1 Pr 0.0000 0.0000 0.1125 1
Gd1 Gd 0.0000 0.0000 0.0000 1
Co1 Co 0.0000 0.0000 0.5000 1
```

Calculated values
- DFT formation energy (eV/atom) = 0.228
- V (A^3/atom) = 31.5



A plane-wave DFT calculation with PBE-GGA was carried out for a relaxed KAsSe2I crystal.

CIF file:
```
data_KAsSe2I
_chemical_formula_sum 'K1 As1 Se2 I1'
_cell_length_a 5.5757
_cell_length_b 5.5757
_cell_length_c 5.5589
_cell_angle_alpha 90.00
_cell_angle_beta 90.00
_cell_angle_gamma 90.00
_symmetry_space_group_name_H-M 'P 4/m m m'
_symmetry_Int_Tables_number 123
_symmetry_space_group_name_Hall '-P 4 2'
loop_
_atom_site_label
_atom_site_type_symbol
_atom_site_fract_x
_atom_site_fract_y
_atom_site_fract_z
_atom_site_occupancy
K1 K 0.0000 0.0000 0.0000 1
As1 As 0.5000 0.5000 0.0000 1
Se1 Se 0.0000 0.5000 0.5000 1
I1 I 0.5000 0.5000 0.5000 1
```

Calculated values
- V (A^3/atom) = 34.6
- ΔE_f (raw) (eV per atom) = 0.309



A plane-wave DFT calculation with PBE-GGA was carried out for a relaxed Ca2BeSb crystal.

CIF file:
```
data_Ca2BeSb
_chemical_formula_sum 'Ca6 Be3 Sb3'
_cell_length_a 4.1054
_cell_length_b 4.1054
_cell_length_c 23.6237
_cell_angle_alpha 90.00
_cell_angle_beta 90.00
_cell_angle_gamma 120.00
_symmetry_space_group_name_H-M 'R 3 m'
_symmetry_Int_Tables_number 160
_symmetry_space_group_name_Hall 'R 3 -2"'
loop_
_atom_site_label
_atom_site_type_symbol
_atom_site_fract_x
_atom_site_fract_y
_atom_site_fract_z
_atom_site_occupancy
Ca1 Ca 0.0000 0.0000 0.0000 1
Ca2 Ca 0.0000 0.0000 0.1972 1
Be1 Be 0.0000 0.0000 0.7573 1
Sb1 Sb 0.0000 0.0000 0.4340 1
```

Calculated values
- V (A^3/atom) = 28.7
- ΔE_f (raw) (eV per atom) = -0.296



A plane-wave DFT calculation with PBE-GGA was carried out for a relaxed In2SiF5 crystal.

CIF file:
```
data_In2SiF5
_chemical_formula_sum 'In4 Si2 F10'
_cell_length_a 6.1759
_cell_length_b 6.2865
_cell_length_c 8.9956
_cell_angle_alpha 90.00
_cell_angle_beta 90.73
_cell_angle_gamma 90.00
_symmetry_space_group_name_H-M 'C 1 m 1'
_symmetry_Int_Tables_number 8
loop_
_symmetry_equiv_pos_as_xyz
'x,y,z'
'x,-y,z'
'x+1/2,y+1/2,z'
'x+1/2,-y+1/2,z'
loop_
_atom_site_label
_atom_site_type_symbol
_atom_site_fract_x
_atom_site_fract_y
_atom_site_fract_z
_atom_site_occupancy
In1 In 0.0000 0.2441 0.0000 1
Si1 Si 0.2432 0.0000 0.4858 1
F1 F 0.0238 0.0000 0.3920 1
F2 F 0.2610 0.2081 0.5831 1
F3 F 0.4364 0.0000 0.3700 1
F4 F 0.4982 0.5000 0.8130 1
```

Calculated values
- V (A^3/atom) = 21.8
- ΔE_f (raw) (eV per atom) = -2.246



A plane-wave DFT calculation with PBE-GGA was carried out for a relaxed AcEr6Tm8 crystal.

CIF file:
```
data_AcEr6Tm8
_chemical_formula_sum 'Ac3 Er18 Tm24'
_cell_length_a 8.6274
_cell_length_b 8.6274
_cell_length_c 22.1336
_cell_angle_alpha 90.00
_cell_angle_beta 90.00
_cell_angle_gamma 120.00
_symmetry_space_group_name_H-M 'R -3'
_symmetry_Int_Tables_number 148
_symmetry_space_group_name_Hall '-R 3'
loop_
_atom_site_label
_atom_site_type_symbol
_atom_site_fract_x
_atom_site_fract_y
_atom_site_fract_z
_atom_site_occupancy
Ac1 Ac 0.0000 0.0000 0.0000 1
Er1 Er 0.0017 0.2293 0.7151 1
Tm1 Tm 0.0000 0.0000 0.4194 1
Tm2 Tm 0.0534 0.7953 0.1352 1
```

Calculated values
- DFT formation energy (eV/atom) = 0.174
- V (A^3/atom) = 31.7



- Among the records above, which one has the highest V?
  La7Ho3Mg



- The lowest V belongs to which entry?
  PrB2Rh3